(w)
! Pm3Dy2Tl2 PBE optimized geometry; values from VASP
&SYSTEM
  ibrav = 0, nat = 7, ntyp = 3
/
ATOMIC_SPECIES
Pm 145.00 Pm.upf
Dy 162.50 Dy.upf
Tl 204.38 Tl.upf
ATOMIC_POSITIONS crystal
Pm 0.5000 0.0000 0.0000
Pm 0.6562 0.3123 0.4684
Pm 0.3438 0.6877 0.5316
Dy 0.9255 0.8509 0.2770
Dy 0.0745 0.1491 0.7230
Tl 0.7857 0.5713 0.8565
Tl 0.2143 0.4287 0.1435
CELL_PARAMETERS angstrom
-0.7702 -4.9099 -2.3589
3.2192 3.7388 -2.4182
4.5344 -3.8014 6.4319
! Crystal system: monoclinic
! Magnetization: 0.0 μB per cell
! Symmetry: C2/m (12)
! Calculated volume: 212.9 Å³/cell
! DOS at the Fermi energy: 6.20 states/eV per cell

***

(x)
! Pm3Dy2Tl2 PBE optimized geometry; values from VASP
&SYSTEM
  ibrav = 0, nat = 7, ntyp = 3
/
ATOMIC_SPECIES
Pm 145.00 Pm.upf
Dy 162.50 Dy.upf
Tl 204.38 Tl.upf
ATOMIC_POSITIONS crystal
Pm 0.8562 0.0000 0.2876
Pm 0.0000 0.0000 0.0000
Pm 0.1438 0.0000 0.7124
Dy 0.7130 0.5000 0.5740
Dy 0.2870 0.5000 0.4260
Tl 0.5729 0.5000 0.8543
Tl 0.4271 0.5000 0.1457
CELL_PARAMETERS angstrom
-1.8866 -2.8402 3.6230
3.1476 -1.5848 0.3967
2.2106 6.8852 9.9647
! Crystal system: orthorhombic
! Magnetization: 0.2 μB per cell
! Symmetry: Cmmm (65)
! Calculated volume: 212.7 Å³/cell
! DOS at the Fermi energy: 7.67 states/eV per cell

***

The structures above, arranged from the most stable to the least stable: (w), (x).